# 1
LaYCu2Ir | PBE | optimized geometry

```
LaYCu2Ir
1.0
4.9563 0.0000 0.0000
0.0000 4.9563 0.0000
0.0000 0.0000 5.1616
La Y Cu Ir
1 1 2 1
Cartesian
0.0000 0.0000 0.0000 La
2.4781 2.4781 2.5808 Y
0.0000 2.4781 2.5808 Cu
2.4781 0.0000 2.5808 Cu
2.4781 2.4781 0.0000 Ir
```

Summary:
* space group: P4/mmm, No. 123
* energy relative to the elements: 42 kJ/mol of atoms
* N(E_F): 0.512 states/eV per atom
* M_tot: 0.0 μB/cell

=====

# 2
Zr2BiPt2 | PBE | optimized geometry

```
Zr2BiPt2
1.0
7.9821 0.0000 0.0000
0.0000 7.9821 0.0000
0.0000 0.0000 3.3411
Zr Bi Pt
4 2 4
Cartesian
1.2665 2.7245 0.0000 Zr
2.7245 6.7155 0.0000 Zr
5.2576 1.2665 0.0000 Zr
6.7155 5.2576 0.0000 Zr
0.0000 0.0000 0.0000 Bi
3.9910 3.9910 0.0000 Bi
1.0308 5.0218 1.6706 Pt
2.9603 1.0308 1.6706 Pt
5.0218 6.9513 1.6706 Pt
6.9513 2.9603 1.6706 Pt
```

Summary:
* space group: P4/mbm, No. 127
* distance to the lowest polymorph of the same formula: 0.65 eV/f.u.
* energy relative to the elements: -64 kJ/mol of atoms
* N(E_F): 0.506 states/eV per atom
* M_tot: 0.0 μB/cell

=====

# 3
Pu8PdRh5 | PBE | optimized geometry

```
Pu8PdRh5
1.0
-4.2808 4.2808 4.2393
4.2808 -4.2808 4.2393
4.2808 4.2808 -4.2393
Pu Pd Rh
8 1 5
Cartesian
5.8423 0.6267 0.4974 Pu
3.6929 2.8056 -1.6472 Pu
0.6267 2.7193 -0.4974 Pu
0.5879 1.4752 2.5921 Pu
3.6541 1.5615 3.7419 Pu
1.4752 -0.5879 5.8865 Pu
2.8056 4.8687 1.6472 Pu
-1.5615 3.6541 4.7367 Pu
0.0000 4.2808 2.1196 Pd
0.0000 0.0000 0.0000 Rh
2.1718 -1.1028 3.2258 Rh
3.1781 2.1090 1.0135 Rh
2.1090 5.3836 -1.0135 Rh
1.1028 2.1718 5.2527 Rh
```

Summary:
* space group: I-4, No. 82
* energy relative to the elements: -36 kJ/mol of atoms
* N(E_F): 4.365 states/eV per atom
* M_tot: 42.1 μB/cell

=====

# 4
CaSeBrF | PBE | optimized geometry

```
CaSeBrF
1.0
3.9226 0.0000 0.0000
0.7395 4.8520 0.0000
1.9151 -0.1091 5.6996
Ca Se Br F
1 1 1 1
Cartesian
0.0000 0.0000 0.0000 Ca
4.6458 2.5059 4.7586 Se
1.7040 3.7636 2.9520 Br
1.9566 0.7137 0.7417 F
```

Summary:
* space group: P1, No. 1
* distance to the lowest polymorph of the same formula: 0.06 eV/f.u.
* N(E_F): 0.000 states/eV per atom
* formation energy (no corrections): -1.80 eV per atom
* M_tot: 0.0 μB/cell

=====

# 5
SrMn2SeS | PBE | optimized geometry

```
SrMn2SeS
1.0
4.4032 0.0000 0.0000
0.0000 4.4032 0.0000
0.0000 0.0000 7.6543
Sr Mn Se S
1 2 1 1
Cartesian
0.0000 0.0000 0.0000 Sr
0.0000 2.2016 3.8271 Mn
2.2016 0.0000 3.8271 Mn
2.2016 2.2016 0.0000 Se
2.2016 2.2016 3.8271 S
```

Summary:
* space group: P4/mmm, No. 123
* N(E_F): 1.033 states/eV per atom
* formation energy (no corrections): -0.32 eV per atom
* M_tot: 8.0 μB/cell

=====

# 6
BeAg2Te | PBE | optimized geometry

```
BeAg2Te
1.0
4.3556 -1.5206 0.0000
4.3556 1.5206 0.0000
-2.2280 0.0000 6.1176
Be Ag Te
1 2 1
Cartesian
0.0000 0.0000 0.0000 Be
1.6417 0.0000 4.2203 Ag
4.0308 0.0000 5.8150 Ag
-0.5784 0.0000 2.3406 Te
```

Summary:
* space group: Cm, No. 8
* distance to the lowest polymorph of the same formula: 0.00 eV/f.u.
* N(E_F): 0.148 states/eV per atom
* formation energy (no corrections): 0.14 eV per atom
* M_tot: 0.0 μB/cell

=====

# 7
AcNdRh2 | PBE | optimized geometry

```
AcNdRh2
1.0
0.0000 3.6295 3.6295
3.6295 0.0000 3.6295
3.6295 3.6295 0.0000
Ac Nd Rh
1 1 2
Cartesian
0.0000 0.0000 0.0000 Ac
3.6295 3.6295 3.6295 Nd
1.8148 1.8148 1.8148 Rh
5.4443 5.4443 5.4443 Rh
```

Summary:
* space group: Fm-3m, No. 225
* distance to the lowest polymorph of the same formula: 0.40 eV/f.u.
* energy relative to the elements: -55 kJ/mol of atoms
* N(E_F): 1.098 states/eV per atom
* M_tot: 0.0 μB/cell

=====

# 8
CeSm7Ho12 | PBE | optimized geometry

```
CeSm7Ho12
1.0
6.1584 3.5555 4.9751
-6.1584 3.5555 4.9751
0.0000 -7.1111 4.9751
Ce Sm Ho
1 7 12
Cartesian
0.0000 0.0000 0.0000 Ce
-1.8020 -5.3748 6.4752 Sm
-5.5557 -1.1268 8.4501 Sm
-3.7537 4.2480 6.4752 Sm
0.0000 0.0000 7.4626 Sm
3.7537 -4.2480 8.4501 Sm
5.5557 1.1268 6.4752 Sm
1.8020 5.3748 8.4501 Sm
-1.4166 -1.5281 4.6579 Ho
-3.3260 0.8773 6.7731 Ho
-2.4228 -2.4417 8.1521 Ho
-0.6151 1.9908 4.6579 Ho
0.9032 -3.3190 6.7731 Ho
2.0317 -0.4627 4.6579 Ho
-2.0317 0.4627 10.2673 Ho
-0.9032 3.3190 8.1521 Ho
0.6151 -1.9908 10.2673 Ho
2.4228 2.4417 6.7731 Ho
3.3260 -0.8773 8.1521 Ho
1.4165 1.5281 10.2673 Ho
```

Summary:
* space group: R-3, No. 148
* energy relative to the elements: 23 kJ/mol of atoms
* N(E_F): 1.954 states/eV per atom
* M_tot: 0.0 μB/cell

=====

# 9
TiPN3 | PBE | optimized geometry

```
TiPN3
1.0
1.8245 -5.1991 0.0000
1.8245 5.1991 0.0000
0.0000 0.0000 6.5402
Ti P N
2 2 6
Cartesian
1.8245 4.2810 4.9051 Ti
1.8245 -4.2810 1.6350 Ti
1.8245 1.3113 4.9051 P
1.8245 -1.3113 1.6350 P
0.0000 0.0000 0.0000 N
0.0000 0.0000 3.2701 N
1.1662 2.6280 1.6350 N
2.4829 2.6280 1.6350 N
1.1662 -2.6280 4.9051 N
2.4829 -2.6280 4.9051 N
```

Summary:
* space group: Cmcm, No. 63
* N(E_F): 0.241 states/eV per atom
* formation energy (no corrections): -0.04 eV per atom
* M_tot: 0.0 μB/cell

=====

# 10
MnGaSiS | PBE | optimized geometry

```
MnGaSiS
1.0
-1.8970 2.0746 4.0859
1.8970 -2.0746 4.0859
1.8970 2.0746 -4.0859
Mn Ga Si S
1 1 1 1
Cartesian
0.0000 0.0000 0.0000 Mn
1.8970 0.0000 2.1087 Ga
0.0000 2.0746 2.8903 Si
0.0000 2.0746 0.6985 S
```

Summary:
* space group: Imm2, No. 44
* distance to the lowest polymorph of the same formula: 0.50 eV/f.u.
* N(E_F): 0.583 states/eV per atom
* formation energy (no corrections): -0.03 eV per atom
* M_tot: 0.0 μB/cell

=====

# 11
LiTl3Ga | PBE | optimized geometry

```
LiTl3Ga
1.0
5.5235 0.0000 0.0000
0.0000 5.5235 0.0000
0.0000 0.0000 5.5235
Li Tl Ga
1 3 1
Cartesian
0.0000 0.0000 0.0000 Li
0.0000 2.7618 2.7618 Tl
2.7618 0.0000 2.7618 Tl
2.7618 2.7618 0.0000 Tl
2.7618 2.7618 2.7618 Ga
```

Summary:
* space group: Pm-3m, No. 221
* distance to the lowest polymorph of the same formula: 0.22 eV/f.u.
* energy relative to the elements: 21 kJ/mol of atoms
* N(E_F): 0.658 states/eV per atom
* M_tot: 0.0 μB/cell

=====

# 12
ThCo2 | PBE | optimized geometry

```
ThCo2
1.0
-1.8259 1.8259 3.9840
1.8259 -1.8259 3.9840
1.8259 1.8259 -3.9840
Th Co
1 2
Cartesian
0.0000 0.0000 0.0000 Th
1.8259 0.0000 1.9920 Co
0.0000 1.8259 1.9920 Co
```

Summary:
* space group: I4/mmm, No. 139
* energy relative to the elements: 13 kJ/mol of atoms
* N(E_F): 1.119 states/eV per atom
* M_tot: 0.0 μB/cell

=====

# 13
CeHoCoSi | PBE | optimized geometry

```
CeHoCoSi
1.0
2.0549 1.1864 5.9513
-2.0549 1.1864 5.9513
0.0000 -2.3728 5.9513
Ce Ho Co Si
1 1 1 1
Cartesian
0.0000 0.0000 0.0000 Ce
0.0000 0.0000 3.3309 Ho
0.0000 0.0000 7.4591 Co
0.0000 0.0000 13.7455 Si
```

Summary:
* space group: R3m, No. 160
* N(E_F): 1.142 states/eV per atom
* formation energy (no corrections): -0.46 eV per atom
* M_tot: 0.3 μB/cell